[1]
DFT (PBE) results for a relaxed KSbSeCl2 crystal.

a b c (Å): 5.2004 8.2114 5.2004
angles (deg): 90.00 90.00 90.00
Sites, in units of the cell vectors:
Cl  0.0000  0.0000  0.5000
Cl  0.5000  0.0000  0.0000
Se  0.5000  0.5000  0.5000
K  0.0000  0.5000  0.0000
Sb  0.0000  0.0000  0.0000

Results
Size of the total moment (μB per formula unit): 1.63
Energy relative to the elements, uncorrected (meV per atom): -341
Uncorrected energy (Ry/atom): -0.20732

---

[2]
DFT (PBE) results for a relaxed KTl2SbCl8 crystal.

a b c (Å): 7.3346 6.7640 9.0991
angles (deg): 80.21 97.35 90.58
Sites, in units of the cell vectors:
Tl  0.4883  0.5318  0.2560
Tl  0.5117  0.4682  0.7440
Cl  0.8601  0.2150  0.1437
Cl  0.1399  0.7850  0.8563
Cl  0.2923  0.1546  0.0518
Cl  0.3188  0.2976  0.4981
Cl  0.9276  0.2494  0.7738
Cl  0.6812  0.7024  0.5019
Cl  0.0724  0.7506  0.2262
Cl  0.7077  0.8454  0.9482
K  0.0000  0.0000  0.5000
Sb  0.0000  0.0000  0.0000

Results
Size of the total moment (μB per formula unit): 0.00
Energy relative to the elements, uncorrected (meV per atom): -1001
Uncorrected energy (Ry/atom): -0.22503

---

[3]
DFT (PBE) results for a relaxed KTlSbCl6 crystal.

a b c (Å): 7.4980 7.4979 6.5558
angles (deg): 90.00 90.00 60.00
Sites, in units of the cell vectors:
Cl  0.0585  0.3272  0.2746
Cl  0.6143  0.3272  0.7254
Cl  0.3271  0.0585  0.7254
Cl  0.3271  0.6143  0.2746
Cl  0.6143  0.0586  0.2746
Cl  0.0585  0.6143  0.7254
Tl  0.0000  0.0000  0.0000
Sb  0.3333  0.3333  0.5000
K  0.6666  0.6667  0.5000

Results
Size of the total moment (μB per formula unit): 0.00
Energy relative to the elements, uncorrected (meV per atom): -1080
Uncorrected energy (Ry/atom): -0.23178

---

[4]
DFT (PBE) results for a relaxed K2TlSbCl8 crystal.

a b c (Å): 6.0934 10.5210 9.3791
angles (deg): 97.96 70.03 133.17
Sites, in units of the cell vectors:
K  0.3019  0.4703  0.3059
K  0.6981  0.5297  0.6941
Sb  0.0000  0.0000  0.0000
Tl  0.0000  0.0000  0.5000
Cl  0.7549  0.0454  0.2410
Cl  0.5142  0.2842  0.9891
Cl  0.2451  0.9546  0.7590
Cl  0.3537  0.6244  0.6075
Cl  0.9339  0.1398  0.8588
Cl  0.0661  0.8602  0.1412
Cl  0.4858  0.7158  0.0109
Cl  0.6463  0.3756  0.3925

Results
Size of the total moment (μB per formula unit): 0.00
Energy relative to the elements, uncorrected (meV per atom): -1149
Uncorrected energy (Ry/atom): -0.22814

---

[5]
DFT (PBE) results for a relaxed K2TlSbCl6 crystal.

a b c (Å): 7.7511 7.7509 8.0554
angles (deg): 61.23 61.23 59.99
Sites, in units of the cell vectors:
Cl  0.2064  0.9801  0.2449
Cl  0.9801  0.5685  0.2448
Cl  0.6637  0.1246  0.7843
Cl  0.4274  0.6635  0.7842
Cl  0.1249  0.4274  0.7841
Cl  0.5683  0.2066  0.2449
Tl  0.8147  0.8147  0.5561
K  0.0210  0.0210  0.9372
K  0.5321  0.5320  0.4038
Sb  0.3230  0.3231  0.0308

Results
Size of the total moment (μB per formula unit): 0.00
Energy relative to the elements, uncorrected (meV per atom): -1363
Uncorrected energy (Ry/atom): -0.24545

---

[6]
DFT (PBE) results for a relaxed KTl2SbCl6 crystal.

a b c (Å): 7.8422 7.8422 7.9702
angles (deg): 60.52 60.52 59.98
Sites, in units of the cell vectors:
Tl  0.5359  0.5359  0.3924
Tl  0.0263  0.0263  0.9213
Cl  0.1220  0.4435  0.7848
Cl  0.5708  0.1907  0.2515
Cl  0.4436  0.6497  0.7847
Cl  0.6498  0.1217  0.7850
Cl  0.1906  0.9870  0.2516
Cl  0.9869  0.5711  0.2514
K  0.8139  0.8139  0.5583
Sb  0.3218  0.3218  0.0345

Results
Size of the total moment (μB per formula unit): 0.00
Energy relative to the elements, uncorrected (meV per atom): -1165
Uncorrected energy (Ry/atom): -0.24023

---

[7]
DFT (PBE) results for a relaxed KYSbCl2 crystal.

a b c (Å): 5.5478 6.7147 5.5478
angles (deg): 90.00 90.00 90.00
Sites, in units of the cell vectors:
K  0.0000  0.5000  0.0000
Cl  0.5000  0.0000  0.0000
Cl  0.0000  0.0000  0.5000
Y  0.5000  0.5000  0.5000
Sb  0.0000  0.0000  0.0000

Results
Size of the total moment (μB per formula unit): 0.83
Energy relative to the elements, uncorrected (meV per atom): 127
Uncorrected energy (Ry/atom): -0.21669

---

[8]
DFT (PBE) results for a relaxed KZnSbCl6 crystal.

a b c (Å): 6.7540 6.7540 6.9746
angles (deg): 90.00 90.00 60.00
Sites, in units of the cell vectors:
Sb  0.6666  0.6667  0.5000
Cl  0.3603  0.0204  0.7102
Cl  0.0203  0.3603  0.2897
Cl  0.3603  0.6193  0.2898
Cl  0.6193  0.0204  0.2898
Cl  0.6193  0.3603  0.7102
Cl  0.0203  0.6193  0.7102
K  0.0000  0.0000  0.0000
Zn  0.3333  0.3333  0.5000

Results
Size of the total moment (μB per formula unit): 0.00
Energy relative to the elements, uncorrected (meV per atom): -1191
Uncorrected energy (Ry/atom): -0.23102

---

[9]
DFT (PBE) results for a relaxed K2ScCl crystal.

a b c (Å): 7.8035 7.8035 7.8035
angles (deg): 143.49 143.49 52.59
Sites, in units of the cell vectors:
Cl  0.7500  0.2500  0.5000
K  0.0000  0.0000  0.0000
K  0.2500  0.7500  0.5000
Sc  0.5000  0.5000  0.0000

Results
Size of the total moment (μB per formula unit): 1.95
Energy relative to the elements, uncorrected (meV per atom): -21
Uncorrected energy (Ry/atom): -0.19215

---

[10]
DFT (PBE) results for a relaxed KSc2Cl crystal.

a b c (Å): 3.2930 3.2930 10.0794
angles (deg): 90.00 90.00 90.00
Sites, in units of the cell vectors:
Sc  0.0000  0.0000  0.4204
Sc  0.0000  0.0000  0.0796
K  0.5000  0.5000  0.7500
Cl  0.5000  0.5000  0.2500

Results
Size of the total moment (μB per formula unit): 1.86
Energy relative to the elements, uncorrected (meV per atom): -27
Uncorrected energy (Ry/atom): -0.28876

---

[11]
DFT (PBE) results for a relaxed KScCl2 crystal.

a b c (Å): 3.7730 3.7730 7.6565
angles (deg): 90.00 90.00 90.00
Sites, in units of the cell vectors:
Cl  0.5000  0.5000  0.2348
Cl  0.0000  0.0000  0.9167
K  0.0000  0.0000  0.4485
Sc  0.5000  0.5000  0.8999

Results
Size of the total moment (μB per formula unit): 1.40
Energy relative to the elements, uncorrected (meV per atom): -1290
Uncorrected energy (Ry/atom): -0.29916

---

[12]
DFT (PBE) results for a relaxed KSc2Cl crystal.

a b c (Å): 6.9895 6.9895 3.3177
angles (deg): 90.00 90.00 129.90
Sites, in units of the cell vectors:
Cl  0.5000  0.0000  0.5000
Sc  0.0000  0.0000  0.0000
Sc  0.5000  0.5000  0.0000
K  0.0000  0.5000  0.5000

Results
Size of the total moment (μB per formula unit): 1.97
Energy relative to the elements, uncorrected (meV per atom): 130
Uncorrected energy (Ry/atom): -0.27719

---

[13]
DFT (PBE) results for a relaxed K2ScCl crystal.

a b c (Å): 6.2425 6.2425 6.2425
angles (deg): 60.00 60.00 60.00
Sites, in units of the cell vectors:
K  0.2500  0.2500  0.2500
K  0.7500  0.7500  0.7500
Cl  0.0000  0.0000  0.0000
Sc  0.5000  0.5000  0.5000

Results
Size of the total moment (μB per formula unit): 2.00
Energy relative to the elements, uncorrected (meV per atom): 79
Uncorrected energy (Ry/atom): -0.18481

---

[14]
DFT (PBE) results for a relaxed KSc2Cl crystal.

a b c (Å): 3.3909 3.5091 9.8038
angles (deg): 79.67 90.00 90.00
Sites, in units of the cell vectors:
Cl  0.0000  0.3193  0.4858
Sc  0.0000  0.0380  0.0501
Sc  0.5000  0.4296  0.2667
K  0.5000  0.7130  0.6973

Results
Size of the total moment (μB per formula unit): 1.10
Energy relative to the elements, uncorrected (meV per atom): -551
Uncorrected energy (Ry/atom): -0.32728

---

[15]
DFT (PBE) results for a relaxed K3ScCl crystal.

a b c (Å): 6.1882 6.1882 6.1882
angles (deg): 90.00 90.00 90.00
Sites, in units of the cell vectors:
K  0.5000  0.0000  0.0000
K  0.0000  0.5000  0.0000
K  0.0000  0.0000  0.5000
Cl  0.0000  0.0000  0.0000
Sc  0.5000  0.5000  0.5000

Results
Size of the total moment (μB per formula unit): 2.21
Energy relative to the elements, uncorrected (meV per atom): -211
Uncorrected energy (Ry/atom): -0.18413

---

[16]
DFT (PBE) results for a relaxed KScCl2 crystal.

a b c (Å): 3.6142 7.3865 5.8677
angles (deg): 40.18 90.00 90.00
Sites, in units of the cell vectors:
Sc  0.0000  0.0000  0.5000
Cl  0.0000  0.0000  0.0000
Cl  0.5000  0.5000  0.0000
K  0.5000  0.5000  0.5000

Results
Size of the total moment (μB per formula unit): 1.54
Energy relative to the elements, uncorrected (meV per atom): -1167
Uncorrected energy (Ry/atom): -0.29017

---

[17]
DFT (PBE) results for a relaxed K2ScCl crystal.

a b c (Å): 6.8345 6.8345 6.8345
angles (deg): 134.21 134.21 66.76
Sites, in units of the cell vectors:
K  0.5000  0.5000  0.0000
K  0.0000  0.0000  0.0000
Sc  0.2500  0.7500  0.5000
Cl  0.7500  0.2500  0.5000

Results
Size of the total moment (μB per formula unit): 1.73
Energy relative to the elements, uncorrected (meV per atom): 69
Uncorrected energy (Ry/atom): -0.18552

---

[18]
DFT (PBE) results for a relaxed KScCl2 crystal.

a b c (Å): 3.5209 3.8418 7.6739
angles (deg): 90.00 90.00 90.00
Sites, in units of the cell vectors:
Sc  0.5000  0.7500  0.7500
Cl  0.0000  0.7492  0.4913
Cl  0.0000  0.7508  0.0087
K  0.5000  0.2500  0.2500

Results
Size of the total moment (μB per formula unit): 0.70
Energy relative to the elements, uncorrected (meV per atom): -1366
Uncorrected energy (Ry/atom): -0.30473

---

[19]
DFT (PBE) results for a relaxed KSc2Cl7 crystal.

a b c (Å): 4.9979 7.7239 7.7239
angles (deg): 116.52 90.00 90.00
Sites, in units of the cell vectors:
Cl  0.0000  0.2995  0.7005
Cl  0.5000  0.6707  0.9536
Cl  0.0000  0.7005  0.2995
Cl  0.5000  0.5000  0.5000
Cl  0.5000  0.0464  0.3293
Cl  0.5000  0.3293  0.0464
Cl  0.5000  0.9536  0.6707
K  0.0000  0.0000  0.0000
Sc  0.5000  0.6968  0.3032
Sc  0.5000  0.3032  0.6968

Results
Size of the total moment (μB per formula unit): 0.00
Energy relative to the elements, uncorrected (meV per atom): -1998
Uncorrected energy (Ry/atom): -0.34300

---

[20]
DFT (PBE) results for a relaxed K3ScCl crystal.

a b c (Å): 7.3309 7.3309 7.3309
angles (deg): 90.00 90.00 90.00
Sites, in units of the cell vectors:
K  0.5000  0.0000  0.0000
K  0.0000  0.0000  0.5000
K  0.0000  0.5000  0.0000
Sc  0.0000  0.0000  0.0000
Cl  0.5000  0.5000  0.5000

Results
Size of the total moment (μB per formula unit): 2.98
Energy relative to the elements, uncorrected (meV per atom): 346
Uncorrected energy (Ry/atom): -0.14322

---

[21]
DFT (PBE) results for a relaxed K2ScCl crystal.

a b c (Å): 7.2913 7.2913 6.9761
angles (deg): 62.57 62.57 28.06
Sites, in units of the cell vectors:
K  0.0589  0.0589  0.9178
K  0.2321  0.2321  0.2444
Sc  0.4270  0.4270  0.5366
Cl  0.7820  0.7820  0.8012

Results
Size of the total moment (μB per formula unit): 1.51
Energy relative to the elements, uncorrected (meV per atom): -381
Uncorrected energy (Ry/atom): -0.21858

---

[22]
DFT (PBE) results for a relaxed K2ScCl crystal.

a b c (Å): 3.5692 3.5692 11.1554
angles (deg): 90.00 90.00 90.00
Sites, in units of the cell vectors:
K  0.0000  0.0000  0.9245
K  0.5000  0.5000  0.2860
Sc  0.0000  0.0000  0.5695
Cl  0.5000  0.5000  0.7200

Results
Size of the total moment (μB per formula unit): 1.27
Energy relative to the elements, uncorrected (meV per atom): -322
Uncorrected energy (Ry/atom): -0.21427

---

[23]
DFT (PBE) results for a relaxed KSc2Cl crystal.

a b c (Å): 5.5895 5.5895 5.5895
angles (deg): 60.00 60.00 60.00
Sites, in units of the cell vectors:
Cl  0.5000  0.5000  0.5000
K  0.7500  0.7500  0.7500
Sc  0.0000  0.0000  0.0000
Sc  0.2500  0.2500  0.2500

Results
Size of the total moment (μB per formula unit): 3.94
Energy relative to the elements, uncorrected (meV per atom): 331
Uncorrected energy (Ry/atom): -0.26243

---

[24]
DFT (PBE) results for a relaxed KSc2Cl crystal.

a b c (Å): 5.0728 7.6543 3.5301
angles (deg): 76.55 90.35 109.44
Sites, in units of the cell vectors:
Cl  0.0000  0.5000  0.5000
K  0.5000  0.5000  0.0000
Sc  0.0000  0.0000  0.0000
Sc  0.5000  0.0000  0.5000

Results
Size of the total moment (μB per formula unit): 2.04
Energy relative to the elements, uncorrected (meV per atom): -115
Uncorrected energy (Ry/atom): -0.29526

---

[25]
DFT (PBE) results for a relaxed KScCl2 crystal.

a b c (Å): 5.0915 5.0915 5.0915
angles (deg): 60.00 60.00 60.00
Sites, in units of the cell vectors:
Cl  0.2500  0.2500  0.2500
Cl  0.7500  0.7500  0.7500
K  0.0000  0.0000  0.0000
Sc  0.5000  0.5000  0.5000

Results
Size of the total moment (μB per formula unit): 2.00
Energy relative to the elements, uncorrected (meV per atom): -1014
Uncorrected energy (Ry/atom): -0.27888

---

[26]
DFT (PBE) results for a relaxed KSc3Cl crystal.

a b c (Å): 5.1337 5.1337 5.1337
angles (deg): 90.00 90.00 90.00
Sites, in units of the cell vectors:
Sc  0.0000  0.5000  0.0000
Sc  0.5000  0.0000  0.0000
Sc  0.0000  0.0000  0.5000
Cl  0.0000  0.0000  0.0000
K  0.5000  0.5000  0.5000

Results
Size of the total moment (μB per formula unit): 1.36
Energy relative to the elements, uncorrected (meV per atom): 133
Uncorrected energy (Ry/atom): -0.31271

---

[27]
DFT (PBE) results for a relaxed KSc2Cl crystal.

a b c (Å): 8.0557 8.0557 8.0557
angles (deg): 149.34 149.34 43.91
Sites, in units of the cell vectors:
K  0.7500  0.2500  0.5000
Sc  0.0000  0.0000  0.0000
Sc  0.5000  0.5000  0.0000
Cl  0.2500  0.7500  0.5000

Results
Size of the total moment (μB per formula unit): 2.13
Energy relative to the elements, uncorrected (meV per atom): -78
Uncorrected energy (Ry/atom): -0.29252

---

[28]
DFT (PBE) results for a relaxed KScCl2 crystal.

a b c (Å): 7.4102 7.4102 7.8811
angles (deg): 58.25 58.25 27.18
Sites, in units of the cell vectors:
Cl  0.8616  0.8616  0.2337
Cl  0.8522  0.8522  0.7980
K  0.4888  0.4888  0.3905
Sc  0.2974  0.2974  0.0779

Results
Size of the total moment (μB per formula unit): 0.74
Energy relative to the elements, uncorrected (meV per atom): -1300
Uncorrected energy (Ry/atom): -0.29989